No. 1
La2SmIn9 (PBE, optimized geometry); volume = 26.87 Å³/atom; SG = P4/mmm (123); VASP energy = -0.2753 Ry/atom; formation energy = -0.4780 eV/atom; total magnetic moment = 0.000 μB/atom
1.0
4.7558 0.0000 0.0000
0.0000 4.7558 0.0000
0.0000 0.0000 14.2537
La Sm In
2 1 9
Cartesian
0.0000 0.0000 2.4198
0.0000 0.0000 11.8339
0.0000 0.0000 7.1268
0.0000 2.3779 0.0000
0.0000 2.3779 4.8098
0.0000 2.3779 9.4439
2.3779 0.0000 0.0000
2.3779 0.0000 4.8098
2.3779 0.0000 9.4439
2.3779 2.3779 2.3803
2.3779 2.3779 7.1268
2.3779 2.3779 11.8733

No. 2
La4SmIn2 (PBE, optimized geometry); volume = 33.79 Å³/atom; SG = P2_1/c (14); VASP energy = -0.3291 Ry/atom; formation energy = -0.2058 eV/atom; total magnetic moment = 0.000 μB/atom
1.0
6.5676 0.0000 0.0000
0.0000 12.4974 0.0000
-0.0003 0.0000 5.7638
La Sm In
8 2 4
Cartesian
0.1138 1.8332 0.0121
0.1137 4.4155 2.8940
2.3809 8.3877 5.7566
2.3811 10.3584 2.8747
4.1863 2.1390 2.8891
4.1864 4.1097 0.0072
6.4537 8.0819 2.8698
6.4536 10.6642 5.7517
3.2838 0.0000 0.0000
3.2837 6.2487 2.8819
1.1995 0.8834 2.8939
1.1996 5.3653 0.0120
5.3677 7.1321 5.7518
5.3679 11.6140 2.8699

No. 3
La2SmIn (PBE, optimized geometry); volume = 31.59 Å³/atom; SG = P4/mmm (123); VASP energy = -0.3391 Ry/atom; formation energy = -0.2859 eV/atom; total magnetic moment = 0.000 μB/atom
1.0
4.9660 0.0000 0.0000
0.0000 4.9660 0.0000
0.0000 0.0000 5.1238
La Sm In
2 1 1
Cartesian
0.0000 2.4830 0.0000
2.4830 0.0000 0.0000
0.0000 0.0000 2.5619
2.4830 2.4830 2.5619

- The highest volume belongs to which entry?
  La4SmIn2

- Which of these has the highest volume?
  La4SmIn2